8
Lattice="-2.5558 2.5558 6.3817 2.5558 -2.5558 6.3817 2.5558 2.5558 -6.3817" Properties=species:S:1:pos:R:3 comment="V2ClF | the Alexandria database | PBE+U | optimized geometry" final_energy_ev_per_atom=-5.08 spacegroup="I-42d, No. 122" pbc="T T T"
V 3.8337 0.8659 -1.5954
V 0.8659 1.2779 1.5954
V -1.2779 1.6899 4.7863
V 1.6899 1.2779 7.9772
Cl 2.5558 0.0000 3.1909
Cl 0.0000 0.0000 6.3817
F 0.0000 0.0000 0.0000
F 0.0000 2.5558 3.1909